[1]
The following is a DFT calculation (PBE) of a relaxed structure of Tl3Cd2Hg2.

Summary:
energy of formation from the pure elements	0.22	eV/f.u.
offset from the most stable computed form	16.5	meV per atom

abc: 3.460 4.630 12.240
angles: 100.90 90.00 90.00
Fractional positions:
Cd: 0.500 0.288 0.577
Cd: 0.500 0.712 0.423
Hg: 0.000 0.842 0.683
Hg: 0.000 0.158 0.317
Tl: 0.500 0.421 0.842
Tl: 0.500 0.579 0.158
Tl: 0.000 0.000 0.000

[2]
The following is a DFT calculation (PBE) of a relaxed structure of Zn16Ni6Rh7.

Summary:
energy of formation from the pure elements	-2.50	eV/f.u.

abc: 8.462 8.462 8.462
angles: 60.00 60.00 60.00
Fractional positions:
Zn: 0.122 0.635 0.122
Zn: 0.355 0.936 0.355
Zn: 0.878 0.878 0.878
Zn: 0.365 0.878 0.878
Zn: 0.878 0.365 0.878
Zn: 0.645 0.064 0.645
Zn: 0.355 0.355 0.355
Zn: 0.936 0.355 0.355
Zn: 0.878 0.878 0.365
Zn: 0.645 0.645 0.064
Zn: 0.635 0.122 0.122
Zn: 0.645 0.645 0.645
Zn: 0.122 0.122 0.122
Zn: 0.122 0.122 0.635
Zn: 0.064 0.645 0.645
Zn: 0.355 0.355 0.936
Rh: 0.000 0.000 0.500
Rh: 0.000 0.500 0.000
Rh: 0.000 0.500 0.500
Rh: 0.500 0.500 0.000
Rh: 0.000 0.000 0.000
Rh: 0.500 0.000 0.500
Rh: 0.500 0.000 0.000
Ni: 0.660 0.660 0.340
Ni: 0.660 0.340 0.660
Ni: 0.660 0.340 0.340
Ni: 0.340 0.660 0.660
Ni: 0.340 0.660 0.340
Ni: 0.340 0.340 0.660

[3]
The following is a DFT calculation (PBE) of a relaxed structure of Ba2Mg4Zn3Ga.

Summary:
energy of formation from the pure elements	-1.46	eV/f.u.

abc: 4.770 4.770 11.787
angles: 90.00 90.00 90.00
Fractional positions:
Mg: 0.000 0.000 0.000
Mg: 0.000 0.500 0.381
Mg: 0.500 0.000 0.619
Mg: 0.500 0.500 0.000
Ba: 0.000 0.500 0.740
Ba: 0.500 0.000 0.260
Zn: 0.500 0.000 0.861
Zn: 0.000 0.500 0.139
Zn: 0.000 0.000 0.500
Ga: 0.500 0.500 0.500

[4]
The following is a DFT calculation (PBE) of a relaxed structure of Ba2TlOsO6.

Summary:
raw formation energy	-1.710	eV per atom

abc: 6.459 6.453 6.127
angles: 57.98 57.98 59.88
Fractional positions:
Tl: 0.816 0.816 0.552
Ba: 0.559 0.558 0.327
Ba: 0.074 0.074 0.777
O: 0.614 0.133 0.823
O: 0.018 0.499 0.280
O: 0.134 0.428 0.824
O: 0.203 0.018 0.284
O: 0.498 0.204 0.279
O: 0.429 0.615 0.819
Os: 0.316 0.316 0.051

[5]
The following is a DFT calculation (PBE) of a relaxed structure of Ta2TcW.

Summary:
energy of formation from the pure elements	0.63	eV/f.u.
offset from the most stable computed form	461.9	meV per atom

abc: 8.755 8.755 8.755
angles: 19.97 19.97 19.97
Fractional positions:
Ta: 0.501 0.501 0.501
Ta: 0.999 0.999 0.999
Tc: 0.250 0.250 0.250
W: 0.750 0.750 0.750

[6]
The following is a DFT calculation (PBE) of a relaxed structure of BeCrBi2I.

Summary:
raw formation energy	1.883	eV per atom

abc: 6.057 4.712 6.057
angles: 90.00 90.00 90.00
Fractional positions:
Bi: 0.000 0.000 0.500
Bi: 0.500 0.000 0.000
Be: 0.500 0.500 0.500
I: 0.000 0.000 0.000
Cr: 0.000 0.500 0.000

[7]
The following is a DFT calculation (PBE) of a relaxed structure of PmNdGa4.

Summary:
energy of formation from the pure elements	-3.42	eV/f.u.
offset from the most stable computed form	123.0	meV per atom

abc: 5.621 5.621 5.621
angles: 60.00 60.00 60.00
Fractional positions:
Pm: 0.000 0.000 0.000
Ga: 0.625 0.125 0.625
Ga: 0.625 0.625 0.125
Ga: 0.625 0.625 0.625
Ga: 0.125 0.625 0.625
Nd: 0.250 0.250 0.250

[8]
The following is a DFT calculation (PBE) of a relaxed structure of Li8Ga5Ag.

Summary:
energy of formation from the pure elements	-2.06	eV/f.u.

abc: 6.779 6.779 6.779
angles: 112.16 104.23 112.16
Fractional positions:
Li: 0.081 0.738 0.481
Li: 0.519 0.599 0.256
Li: 0.657 0.401 0.919
Li: 0.364 0.294 0.435
Li: 0.565 0.929 0.859
Li: 0.141 0.706 0.070
Li: 0.744 0.262 0.343
Li: 0.930 0.071 0.636
Ga: 0.272 0.080 0.970
Ga: 0.808 0.698 0.728
Ga: 0.500 0.000 0.500
Ga: 0.890 0.920 0.192
Ga: 0.030 0.302 0.110
Ag: 0.250 0.500 0.750

[9]
The following is a DFT calculation (PBE) of a relaxed structure of ZnCdBr2.

Summary:
offset from the most stable computed form	328.1	meV per atom
raw formation energy	-0.162	eV per atom

abc: 3.547 3.548 9.411
angles: 90.00 90.00 90.00
Fractional positions:
Br: 0.000 0.000 0.070
Br: 0.000 0.000 0.430
Cd: 0.500 0.500 0.250
Zn: 0.500 0.500 0.750

[10]
The following is a DFT calculation (PBE) of a relaxed structure of YCoPt2.

Summary:
energy of formation from the pure elements	-2.10	eV/f.u.

abc: 5.059 5.059 5.059
angles: 132.94 132.94 68.75
Fractional positions:
Co: 0.750 0.250 0.500
Y: 0.500 0.500 0.000
Pt: 0.250 0.750 0.500
Pt: 0.000 0.000 0.000

[11]
The following is a DFT calculation (PBE) of a relaxed structure of HgAs2WBr.

Summary:
offset from the most stable computed form	0.0	meV per atom
raw formation energy	0.374	eV per atom

abc: 4.891 4.891 5.377
angles: 90.00 90.00 90.00
Fractional positions:
Br: 0.000 0.000 0.500
W: 0.000 0.000 0.000
As: 0.500 0.000 0.000
As: 0.000 0.500 0.000
Hg: 0.500 0.500 0.500

[12]
The following is a DFT calculation (PBE) of a relaxed structure of Pu7Ge2Rh2.

Summary:
energy of formation from the pure elements	-2.80	eV/f.u.

abc: 7.998 4.759 7.998
angles: 119.25 112.97 60.75
Fractional positions:
Pu: 0.137 0.186 0.453
Pu: 0.388 0.459 0.612
Pu: 0.612 0.541 0.388
Pu: 0.000 0.000 0.000
Pu: 0.453 0.814 0.137
Pu: 0.547 0.186 0.863
Pu: 0.863 0.814 0.547
Ge: 0.829 0.810 0.171
Ge: 0.171 0.190 0.829
Rh: 0.783 0.500 0.783
Rh: 0.217 0.500 0.217

Number 5 is which compound?
Ta2TcW